# Sr2MgAg3Sb4, optimized geometry, DFT GGA-PBE
data_Sr2MgAg3Sb4
_chemical_formula_sum 'Sr2 Mg1 Ag3 Sb4'
_space_group_name_H-M_alt 'P -4 m 2'
_space_group_IT_number 115
_space_group_name_Hall 'P -4 -2'
_cell_length_a 4.777
_cell_length_b 4.777
_cell_length_c 11.974
_cell_angle_alpha 90.00
_cell_angle_beta 90.00
_cell_angle_gamma 90.00
loop_
_atom_site_label
_atom_site_type_symbol
_atom_site_fract_x
_atom_site_fract_y
_atom_site_fract_z
Sr1 Sr 0.000 0.500 0.238
Mg1 Mg 0.000 0.000 0.500
Ag1 Ag 0.000 0.500 0.865
Ag2 Ag 0.500 0.500 0.500
Sb1 Sb 0.000 0.000 0.000
Sb2 Sb 0.000 0.500 0.639
Sb3 Sb 0.500 0.500 0.000
# DOS(E_F)   1.19 states/eV/f.u.
# Formation energy from raw total energies   -0.4992 eV/atom